# 1
A plane-wave DFT calculation with PBE was carried out for a relaxed structure of LaSbHI2.

a = 5.657 Å, b = 5.657 Å, c = 4.092 Å
α = 90.00°, β = 90.00°, γ = 90.00°
Fractional coordinates of all 5 atoms:
La (0.000, 0.000, 0.000)
Sb (0.500, 0.500, 0.000)
H (0.500, 0.500, 0.500)
I (0.000, 0.500, 0.500)
I (0.500, 0.000, 0.500)

**Electronic total energy**: -16.9 eV per cell
**Fermi-level density of states**: 3.004 states/eV/cell
**Magnetization**: 0.0 μB per cell
**Calculated volume**: 26.195 A^3/atom
**Space group**: P4/mmm, No. 123
**Excess energy over the best structure of this formula in the dataset**: 0 meV per atom


# 2
A plane-wave DFT calculation with PBE was carried out for a relaxed structure of LaHSeI2.

a = 6.320 Å, b = 6.320 Å, c = 4.519 Å
α = 90.00°, β = 90.00°, γ = 90.00°
Fractional coordinates of all 5 atoms:
La (0.000, 0.000, 0.000)
H (0.000, 0.000, 0.500)
Se (0.500, 0.500, 0.500)
I (0.000, 0.500, 0.000)
I (0.500, 0.000, 0.000)

**Electronic total energy**: -16.7 eV per cell
**Fermi-level density of states**: 3.036 states/eV/cell
**Magnetization**: 2.0 μB per cell
**Calculated volume**: 36.102 A^3/atom
**Space group**: P4/mmm, No. 123


# 3
A plane-wave DFT calculation with PBE was carried out for a relaxed structure of La6Si2HI3.

a = 7.425 Å, b = 7.425 Å, c = 8.188 Å
α = 98.81°, β = 98.81°, γ = 119.95°
Fractional coordinates of all 12 atoms:
La (0.066, 0.395, 0.199)
La (0.263, 0.263, 0.796)
La (0.395, 0.066, 0.199)
La (0.605, 0.934, 0.801)
La (0.737, 0.737, 0.204)
La (0.934, 0.605, 0.801)
Si (0.335, 0.665, 0.000)
Si (0.665, 0.335, 0.000)
H (0.000, 0.000, 0.000)
I (0.174, 0.826, 0.500)
I (0.500, 0.500, 0.500)
I (0.826, 0.174, 0.500)

**Electronic total energy**: -58.7 eV per cell
**Fermi-level density of states**: 8.634 states/eV/cell
**Magnetization**: 0.8 μB per cell
**Calculated volume**: 31.028 A^3/atom
**Space group**: C2/m, No. 12


# 4
A plane-wave DFT calculation with PBE was carried out for a relaxed structure of La8Si3HI3.

a = 8.703 Å, b = 8.703 Å, c = 9.112 Å
α = 118.58°, β = 118.58°, γ = 59.95°
Fractional coordinates of all 15 atoms:
La (0.226, 0.743, 0.712)
La (0.236, 0.236, 0.708)
La (0.257, 0.257, 0.288)
La (0.257, 0.774, 0.288)
La (0.743, 0.226, 0.712)
La (0.743, 0.743, 0.712)
La (0.764, 0.764, 0.292)
La (0.774, 0.257, 0.288)
Si (0.000, 0.000, 0.500)
Si (0.000, 0.500, 0.500)
Si (0.500, 0.000, 0.500)
H (0.500, 0.500, 0.500)
I (0.000, 0.500, 0.000)
I (0.500, 0.000, 0.000)
I (0.500, 0.500, 0.000)

**Electronic total energy**: -74.7 eV per cell
**Fermi-level density of states**: 12.163 states/eV/cell
**Magnetization**: 0.0 μB per cell
**Calculated volume**: 33.199 A^3/atom
**Space group**: C2/m, No. 12


# 5
A plane-wave DFT calculation with PBE was carried out for a relaxed structure of La4SiHI2.

a = 7.259 Å, b = 4.206 Å, c = 8.204 Å
α = 90.00°, β = 106.18°, γ = 90.00°
Fractional coordinates of all 8 atoms:
La (0.227, 0.000, 0.199)
La (0.248, 0.500, 0.811)
La (0.752, 0.500, 0.189)
La (0.773, 0.000, 0.801)
Si (0.500, 0.000, 0.000)
H (0.000, 0.500, 0.000)
I (0.000, 0.000, 0.500)
I (0.500, 0.500, 0.500)

**Electronic total energy**: -38.0 eV per cell
**Fermi-level density of states**: 5.531 states/eV/cell
**Magnetization**: 0.0 μB per cell
**Calculated volume**: 30.065 A^3/atom
**Space group**: P2/m, No. 10


# 6
A plane-wave DFT calculation with PBE was carried out for a relaxed structure of SrLaHI2.

a = 5.819 Å, b = 5.819 Å, c = 4.225 Å
α = 90.00°, β = 90.00°, γ = 90.00°
Fractional coordinates of all 5 atoms:
Sr (0.000, 0.000, 0.000)
La (0.500, 0.500, 0.000)
H (0.500, 0.500, 0.500)
I (0.000, 0.500, 0.500)
I (0.500, 0.000, 0.500)

**Electronic total energy**: -16.9 eV per cell
**Fermi-level density of states**: 3.006 states/eV/cell
**Magnetization**: 0.4 μB per cell
**Calculated volume**: 28.615 A^3/atom
**Space group**: P4/mmm, No. 123


# 7
A plane-wave DFT calculation with PBE was carried out for a relaxed structure of LaTe2HI.

a = 6.273 Å, b = 6.273 Å, c = 6.351 Å
α = 90.00°, β = 90.00°, γ = 90.00°
Fractional coordinates of all 5 atoms:
La (0.000, 0.000, 0.000)
Te (0.000, 0.500, 0.000)
Te (0.500, 0.000, 0.000)
H (0.500, 0.500, 0.500)
I (0.000, 0.000, 0.500)

**Electronic total energy**: -16.2 eV per cell
**Fermi-level density of states**: 5.432 states/eV/cell
**Magnetization**: 2.6 μB per cell
**Calculated volume**: 49.980 A^3/atom
**Space group**: P4/mmm, No. 123
**Excess energy over the best structure of this formula in the dataset**: 386 meV per atom


# 8
A plane-wave DFT calculation with PBE was carried out for a relaxed structure of LaTe2HI.

a = 4.673 Å, b = 4.673 Å, c = 5.884 Å
α = 90.00°, β = 90.00°, γ = 90.00°
Fractional coordinates of all 5 atoms:
La (0.000, 0.000, 0.000)
Te (0.000, 0.500, 0.500)
Te (0.500, 0.000, 0.500)
H (0.500, 0.500, 0.500)
I (0.500, 0.500, 0.000)

**Electronic total energy**: -18.2 eV per cell
**Fermi-level density of states**: 3.199 states/eV/cell
**Magnetization**: 0.0 μB per cell
**Calculated volume**: 25.701 A^3/atom
**Space group**: P4/mmm, No. 123
**Excess energy over the best structure of this formula in the dataset**: 0 meV per atom


# 9
A plane-wave DFT calculation with PBE was carried out for a relaxed structure of LaZn2HI.

a = 6.131 Å, b = 6.131 Å, c = 4.398 Å
α = 90.00°, β = 90.00°, γ = 90.00°
Fractional coordinates of all 5 atoms:
La (0.000, 0.000, 0.000)
Zn (0.000, 0.500, 0.000)
Zn (0.500, 0.000, 0.000)
H (0.000, 0.000, 0.500)
I (0.500, 0.500, 0.500)

**Electronic total energy**: -11.5 eV per cell
**Fermi-level density of states**: 2.779 states/eV/cell
**Magnetization**: 0.0 μB per cell
**Calculated volume**: 33.059 A^3/atom
**Space group**: P4/mmm, No. 123


# 10
A plane-wave DFT calculation with PBE was carried out for a relaxed structure of Li3HI.

a = 4.491 Å, b = 4.491 Å, c = 4.491 Å
α = 90.00°, β = 90.00°, γ = 90.00°
Fractional coordinates of all 5 atoms:
Li (0.000, 0.000, 0.500)
Li (0.000, 0.500, 0.000)
Li (0.500, 0.000, 0.000)
H (0.000, 0.000, 0.000)
I (0.500, 0.500, 0.500)

**Electronic total energy**: -12.5 eV per cell
**Fermi-level density of states**: 2.276 states/eV/cell
**Magnetization**: 0.0 μB per cell
**Calculated volume**: 18.119 A^3/atom
**Space group**: Pm-3m, No. 221
**Excess energy over the best structure of this formula in the dataset**: 0 meV per atom


# 11
A plane-wave DFT calculation with PBE was carried out for a relaxed structure of LiHI.

a = 4.613 Å, b = 4.787 Å, c = 8.559 Å
α = 73.78°, β = 89.22°, γ = 89.93°
Fractional coordinates of all 6 atoms:
Li (0.000, 0.000, 0.000)
Li (0.497, 0.491, 0.017)
H (0.203, 0.324, 0.502)
H (0.205, 0.169, 0.499)
I (0.001, 0.585, 0.829)
I (0.497, 0.906, 0.188)

**Electronic total energy**: -18.4 eV per cell
**Fermi-level density of states**: 0.000 states/eV/cell
**Magnetization**: 0.0 μB per cell
**Calculated volume**: 30.242 A^3/atom
**Space group**: P1, No. 1
**Excess energy over the best structure of this formula in the dataset**: 8 meV per atom


# 12
A plane-wave DFT calculation with PBE was carried out for a relaxed structure of LiH6I.

a = 6.069 Å, b = 6.069 Å, c = 4.542 Å
α = 111.72°, β = 111.72°, γ = 109.84°
Fractional coordinates of all 8 atoms:
Li (0.000, 0.000, 0.000)
H (0.072, 0.072, 0.570)
H (0.137, 0.721, 0.928)
H (0.279, 0.863, 0.072)
H (0.721, 0.137, 0.928)
H (0.863, 0.279, 0.072)
H (0.928, 0.928, 0.430)
I (0.500, 0.500, 0.500)

**Electronic total energy**: -25.7 eV per cell
**Fermi-level density of states**: 0.000 states/eV/cell
**Magnetization**: 0.0 μB per cell
**Calculated volume**: 15.047 A^3/atom
**Space group**: C2/m, No. 12